12
Lattice="6.750 0.000 0.000 0.000 7.813 0.002 -3.375 -1.955 8.263" Properties=species:S:1:pos:R:3 comment="PBE Ac2HoPb3, relaxed" magmom_total_mub_per_cell=0.0 polymorph_energy_mev_per_atom=89 final_energy_ev_per_atom=-4.35 n_ef_per_ev_cell=10.32 pbc="T T T"
Ac 3.364 3.907 2.800
Ac 3.386 0.000 2.799
Ac -0.011 5.858 5.466
Ac 0.011 1.952 5.465
Ho 6.717 5.860 0.002
Ho 0.033 1.953 0.001
Pb 3.414 1.953 0.001
Pb 3.336 5.860 0.002
Pb 0.011 0.000 2.571
Pb 3.386 1.952 5.694
Pb -0.011 3.906 2.572
Pb 3.364 5.859 5.695

=====

7
Lattice="4.659 0.000 0.000 0.000 4.659 0.000 2.330 2.330 7.772" Properties=species:S:1:pos:R:3 comment="PBE In4Hg2H, relaxed" magmom_total_mub_per_cell=0.0 final_energy_ev_per_atom=-1.99 n_ef_per_ev_cell=3.21 pbc="T T T"
H 0.000 0.000 0.000
Hg 4.659 4.659 5.573
Hg 2.330 2.330 2.199
In 4.659 4.659 2.605
In 2.330 2.330 5.167
In 0.000 2.330 0.000
In 2.330 0.000 0.000

=====

12
Lattice="-4.116 -0.186 -0.313 -0.081 -6.625 5.001 1.307 6.969 5.946" Properties=species:S:1:pos:R:3 comment="PBE Dy6TeAs2Se3, relaxed" magmom_total_mub_per_cell=0.0 final_energy_ev_per_atom=-5.85 n_ef_per_ev_cell=3.88 pbc="T T T"
Dy -0.561 -1.483 8.247
Dy -2.361 -1.575 4.702
Dy -2.330 1.641 2.386
Dy -0.032 -1.720 1.446
Dy -2.858 1.878 9.187
Dy -0.530 1.732 5.931
Te -2.058 -0.093 -0.157
As -2.612 0.070 7.020
As -0.279 0.087 3.613
Se -2.099 -3.406 2.344
Se -2.580 3.465 4.586
Se -0.311 -3.307 6.047

=====

12
Lattice="-0.703 6.067 0.415 -3.904 -3.287 -3.380 -2.237 -1.705 6.090" Properties=species:S:1:pos:R:3 comment="PBE Ba3Tm2NpN6, relaxed" magmom_total_mub_per_cell=0.5 final_energy_ev_per_atom=-7.50 n_ef_per_ev_cell=4.58 pbc="T T T"
Ba -4.473 -2.532 0.317
Ba -2.372 3.607 2.807
Ba -3.422 0.537 1.562
Tm -2.835 -0.162 -2.112
Tm -1.773 2.942 -0.853
Np 0.000 0.000 0.000
N -4.984 2.208 3.233
N -3.907 1.776 -1.081
N -1.861 -1.133 -0.109
N -5.952 -0.623 2.084
N -2.938 -0.701 4.205
N -0.892 1.698 1.040

=====

Number 2 is which compound?
In4Hg2H